*w*
Here is crystalline KRe2Br at its relaxed geometry from Alexandria via LeMat-Bulk. Energies are from GGA-PBEsol. Values from VASP.

Geometry as Quantum ESPRESSO input:
```
&SYSTEM
  ibrav = 0, nat = 4, ntyp = 3
/
ATOMIC_SPECIES
Br 79.90 Br.upf
K 39.10 K.upf
Re 186.21 Re.upf
ATOMIC_POSITIONS crystal
Br 0.500 0.500 0.500
K 0.000 0.000 0.000
Re 0.237 0.237 0.290
Re 0.763 0.763 0.710
CELL_PARAMETERS angstrom
2.873 0.000 0.000
1.437 2.488 0.000
1.437 0.829 10.265
```

The total magnetic moment is 0.0 μB/f.u.

*x*
Here is crystalline KRe2Br at its relaxed geometry from Alexandria via LeMat-Bulk. Energies are from GGA-PBEsol. Values from VASP.

Geometry as Quantum ESPRESSO input:
```
&SYSTEM
  ibrav = 0, nat = 4, ntyp = 3
/
ATOMIC_SPECIES
Re 186.21 Re.upf
K 39.10 K.upf
Br 79.90 Br.upf
ATOMIC_POSITIONS crystal
Re 0.250 0.250 0.250
Re 0.750 0.750 0.750
K 0.000 0.000 0.000
Br 0.500 0.500 0.500
CELL_PARAMETERS angstrom
-0.630 -2.996 -3.429
0.350 -4.513 0.798
-3.757 -2.646 -0.079
```

The total magnetic moment is 0.0 μB/f.u.

*y*
Here is crystalline KRe2Br at its relaxed geometry from Alexandria via LeMat-Bulk. Energies are from GGA-PBEsol. Values from VASP.

Geometry as Quantum ESPRESSO input:
```
&SYSTEM
  ibrav = 0, nat = 4, ntyp = 3
/
ATOMIC_SPECIES
Br 79.90 Br.upf
K 39.10 K.upf
Re 186.21 Re.upf
ATOMIC_POSITIONS crystal
Br 0.500 0.000 0.500
K 0.000 0.500 0.500
Re 0.000 0.000 0.000
Re 0.500 0.500 0.000
CELL_PARAMETERS angstrom
-2.249 1.326 -0.534
0.384 -1.210 -4.623
-3.734 -5.843 1.218
```

The total magnetic moment is 0.5 μB/f.u.

*z*
Here is crystalline KRe2Br at its relaxed geometry from Alexandria via LeMat-Bulk. Energies are from GGA-PBEsol. Values from VASP.

Geometry as Quantum ESPRESSO input:
```
&SYSTEM
  ibrav = 0, nat = 4, ntyp = 3
/
ATOMIC_SPECIES
Br 79.90 Br.upf
K 39.10 K.upf
Re 186.21 Re.upf
ATOMIC_POSITIONS crystal
Br 0.500 0.000 0.000
K 0.500 0.500 0.000
Re 0.000 0.000 0.500
Re 0.000 0.500 0.500
CELL_PARAMETERS angstrom
-1.366 -0.173 2.161
3.790 -2.896 2.165
1.075 7.074 1.245
```

The total magnetic moment is 0.0 μB/f.u.

Which structure is the least stable? The one labeled *x*.

*w*
Here is crystalline KRh2Br at its relaxed geometry from Alexandria via LeMat-Bulk. Energies are from GGA-PBEsol. Values from VASP.

Geometry as Quantum ESPRESSO input:
```
&SYSTEM
  ibrav = 0, nat = 4, ntyp = 3
/
ATOMIC_SPECIES
Br 79.90 Br.upf
K 39.10 K.upf
Rh 102.91 Rh.upf
ATOMIC_POSITIONS crystal
Br 0.500 0.000 0.000
K 0.000 0.500 0.000
Rh 0.779 0.779 0.558
Rh 0.221 0.221 0.442
CELL_PARAMETERS angstrom
-1.627 -1.882 -1.483
2.643 -3.685 1.778
-3.733 2.408 3.869
```

The total magnetic moment is 0.0 μB/f.u.

*x*
Here is crystalline KRh2Br at its relaxed geometry from Alexandria via LeMat-Bulk. Energies are from GGA-PBEsol. Values from VASP.

Geometry as Quantum ESPRESSO input:
```
&SYSTEM
  ibrav = 0, nat = 4, ntyp = 3
/
ATOMIC_SPECIES
Br 79.90 Br.upf
K 39.10 K.upf
Rh 102.91 Rh.upf
ATOMIC_POSITIONS crystal
Br 0.500 0.500 0.500
K 0.000 0.000 0.500
Rh 0.000 0.500 0.000
Rh 0.500 0.000 0.000
CELL_PARAMETERS angstrom
-3.880 0.290 0.428
-0.516 -2.277 -3.141
0.020 -4.046 2.930
```

The total magnetic moment is 1.7 μB/f.u.

*y*
Here is crystalline KRh2Br at its relaxed geometry from Alexandria via LeMat-Bulk. Energies are from GGA-PBEsol. Values from VASP.

Geometry as Quantum ESPRESSO input:
```
&SYSTEM
  ibrav = 0, nat = 4, ntyp = 3
/
ATOMIC_SPECIES
Br 79.90 Br.upf
K 39.10 K.upf
Rh 102.91 Rh.upf
ATOMIC_POSITIONS crystal
Br 0.548 0.095 0.617
K 0.733 0.466 0.238
Rh 0.952 0.905 0.825
Rh 0.267 0.535 0.820
CELL_PARAMETERS angstrom
-2.645 -0.634 2.708
1.585 -3.748 -2.049
4.080 1.949 4.440
```

The total magnetic moment is 1.0 μB/f.u.

Which structure is the least stable? The one labeled *x*.

*w*
Here is crystalline KScBr2 at its relaxed geometry from Alexandria via LeMat-Bulk. Energies are from GGA-PBEsol. Values from VASP.

Geometry as Quantum ESPRESSO input:
```
&SYSTEM
  ibrav = 0, nat = 4, ntyp = 3
/
ATOMIC_SPECIES
Br 79.90 Br.upf
K 39.10 K.upf
Sc 44.96 Sc.upf
ATOMIC_POSITIONS crystal
Br 0.000 0.000 0.000
Br 0.750 0.750 0.750
K 0.500 0.500 0.500
Sc 0.250 0.250 0.250
CELL_PARAMETERS angstrom
5.389 0.000 0.000
2.695 4.667 0.000
2.695 1.556 4.400
```

The total magnetic moment is 1.9 μB/f.u.

*x*
Here is crystalline KScBr2 at its relaxed geometry from Alexandria via LeMat-Bulk. Energies are from GGA-PBEsol. Values from VASP.

Geometry as Quantum ESPRESSO input:
```
&SYSTEM
  ibrav = 0, nat = 4, ntyp = 3
/
ATOMIC_SPECIES
Br 79.90 Br.upf
K 39.10 K.upf
Sc 44.96 Sc.upf
ATOMIC_POSITIONS crystal
Br 0.000 0.000 0.775
Br 0.000 0.000 0.225
K 0.500 0.000 0.500
Sc 0.500 0.000 0.000
CELL_PARAMETERS angstrom
3.688 0.000 0.000
-1.844 3.329 0.000
0.000 0.000 9.148
```

The total magnetic moment is 0.1 μB/f.u.

Which structure is the least stable? The one labeled *w*.

*w*
Here is crystalline KSeBr2 at its relaxed geometry from Alexandria via LeMat-Bulk. Energies are from GGA-PBEsol. Values from VASP.

Geometry as Quantum ESPRESSO input:
```
&SYSTEM
  ibrav = 0, nat = 4, ntyp = 3
/
ATOMIC_SPECIES
Br 79.90 Br.upf
K 39.10 K.upf
Se 78.96 Se.upf
ATOMIC_POSITIONS crystal
Br 0.750 0.750 0.750
Br 0.250 0.250 0.250
K 0.500 0.500 0.500
Se 0.000 0.000 0.000
CELL_PARAMETERS angstrom
-2.775 2.621 -3.856
-0.443 -2.152 -4.961
-4.774 -1.939 -1.700
```

The total magnetic moment is 2.9 μB/f.u.

*x*
Here is crystalline KSeBr2 at its relaxed geometry from Alexandria via LeMat-Bulk. Energies are from GGA-PBEsol. Values from VASP.

Geometry as Quantum ESPRESSO input:
```
&SYSTEM
  ibrav = 0, nat = 4, ntyp = 3
/
ATOMIC_SPECIES
Br 79.90 Br.upf
K 39.10 K.upf
Se 78.96 Se.upf
ATOMIC_POSITIONS crystal
Br 0.000 0.000 0.885
Br 0.500 0.500 0.302
K 0.000 0.000 0.450
Se 0.500 0.500 0.863
CELL_PARAMETERS angstrom
4.051 0.000 0.000
0.000 4.051 0.000
0.000 0.000 7.280
```

The total magnetic moment is 0.0 μB/f.u.

Which structure is the least stable? The one labeled *w*.

*w*
Here is crystalline KTiSeBr2 at its relaxed geometry from Alexandria via LeMat-Bulk. Energies are from GGA-PBEsol. Values from VASP.

Geometry as Quantum ESPRESSO input:
```
&SYSTEM
  ibrav = 0, nat = 5, ntyp = 4
/
ATOMIC_SPECIES
K 39.10 K.upf
Se 78.96 Se.upf
Br 79.90 Br.upf
Ti 47.87 Ti.upf
ATOMIC_POSITIONS crystal
K 0.500 0.500 0.500
Se 0.500 0.000 0.000
Br 0.000 0.000 0.500
Br 0.000 0.500 0.000
Ti 0.000 0.000 0.000
CELL_PARAMETERS angstrom
-3.032 -0.197 3.852
3.965 -1.587 3.039
1.124 4.991 1.140
```

The total magnetic moment is 1.0 μB/f.u.

*x*
Here is crystalline KTiSeBr2 at its relaxed geometry from Alexandria via LeMat-Bulk. Energies are from GGA-PBEsol. Values from VASP.

Geometry as Quantum ESPRESSO input:
```
&SYSTEM
  ibrav = 0, nat = 5, ntyp = 4
/
ATOMIC_SPECIES
K 39.10 K.upf
Se 78.96 Se.upf
Br 79.90 Br.upf
Ti 47.87 Ti.upf
ATOMIC_POSITIONS crystal
K 0.000 0.000 0.000
Se 0.000 0.000 0.500
Br 0.000 0.500 0.000
Br 0.500 0.000 0.000
Ti 0.500 0.500 0.500
CELL_PARAMETERS angstrom
5.554 0.000 0.000
0.000 5.554 0.000
0.000 0.000 5.614
```

The total magnetic moment is 1.0 μB/f.u.

Which structure is the least stable? The one labeled *x*.

*w*
Here is crystalline K2SiBr at its relaxed geometry from Alexandria via LeMat-Bulk. Energies are from GGA-PBEsol. Values from VASP.

Geometry as Quantum ESPRESSO input:
```
&SYSTEM
  ibrav = 0, nat = 8, ntyp = 3
/
ATOMIC_SPECIES
K 39.10 K.upf
Si 28.09 Si.upf
Br 79.90 Br.upf
ATOMIC_POSITIONS crystal
K 0.024 0.125 0.351
K 0.976 0.625 0.899
K 0.476 0.351 0.625
K 0.524 0.899 0.125
Si 0.000 0.500 0.500
Si 0.500 0.750 0.750
Br 0.000 0.000 0.000
Br 0.500 0.250 0.250
CELL_PARAMETERS angstrom
7.693 0.113 -0.180
-2.924 7.116 0.180
2.924 3.258 6.329
```

The total magnetic moment is 3.0 μB/f.u.

*x*
Here is crystalline K2SiBr at its relaxed geometry from Alexandria via LeMat-Bulk. Energies are from GGA-PBEsol. Values from VASP.

Geometry as Quantum ESPRESSO input:
```
&SYSTEM
  ibrav = 0, nat = 4, ntyp = 3
/
ATOMIC_SPECIES
Br 79.90 Br.upf
K 39.10 K.upf
Si 28.09 Si.upf
ATOMIC_POSITIONS crystal
Br 0.500 0.000 0.000
K 0.250 0.750 0.750
K 0.750 0.250 0.250
Si 0.000 0.500 0.500
CELL_PARAMETERS angstrom
-1.349 -4.529 -3.259
3.952 -2.326 -3.458
2.191 -5.167 1.218
```

The total magnetic moment is 3.0 μB/f.u.

Which structure is the least stable? The one labeled *w*.